1.
GGA-PBE BeZnSe2, relaxed; symmetry = P4/mmm (123); formation energy from raw total energies = 0.3757 eV per atom
1.0
4.5952 0.0000 0.0000
0.0000 4.5952 0.0000
0.0000 0.0000 3.2403
Be Zn Se
1 1 2
direct
0.0000 0.0000 0.0000
0.5000 0.5000 0.0000
0.0000 0.5000 0.5000
0.5000 0.0000 0.5000

***

2.
GGA-PBE KRb2SiI6, relaxed; symmetry = Fm-3m (225); formation energy from raw total energies = -0.8599 eV per atom
1.0
0.0000 6.1599 6.1599
6.1599 0.0000 6.1599
6.1599 6.1599 0.0000
K Rb Si I
1 2 1 6
direct
0.0000 0.0000 0.0000
0.2500 0.2500 0.2500
0.7500 0.7500 0.7500
0.5000 0.5000 0.5000
0.2728 0.2728 0.7272
0.2728 0.7272 0.2728
0.2728 0.7272 0.7272
0.7272 0.2728 0.2728
0.7272 0.2728 0.7272
0.7272 0.7272 0.2728

***

3.
GGA-PBE BaIr2Pb, relaxed; symmetry = P4mm (99); E_form = 252 meV/atom
1.0
3.5588 0.0000 0.0000
0.0000 3.5588 0.0000
0.0000 0.0000 7.9954
Ba Ir Pb
1 2 1
direct
0.0000 0.0000 0.0000
0.0000 0.0000 0.3821
0.5000 0.5000 0.2924
0.5000 0.5000 0.6383

***

4.
GGA-PBE In2TcP, relaxed; symmetry = P2/m (10); E_form = 592 meV/atom
1.0
3.2416 0.0000 0.0000
0.0000 5.0011 0.0000
-0.0795 0.0000 4.6759
In Tc P
2 1 1
direct
0.2454 0.0000 0.2509
0.7546 0.0000 0.7491
0.5000 0.5000 0.5000
0.0000 0.5000 0.0000

***

5.
GGA-PBE Ba6PSe2Cl3, relaxed; symmetry = C2/m (12); formation energy from raw total energies = -1.8659 eV per atom
1.0
4.0400 -6.9861 0.0000
4.0400 6.9861 0.0000
-2.6881 0.0000 7.5056
Ba P Se Cl
6 1 2 3
direct
0.0784 0.4018 0.2352
0.2446 0.2446 0.7646
0.4018 0.0784 0.2352
0.5982 0.9216 0.7648
0.7554 0.7554 0.2354
0.9216 0.5982 0.7648
0.0000 0.0000 0.0000
0.3334 0.6666 0.0000
0.6666 0.3334 0.0000
0.1677 0.8323 0.5000
0.5000 0.5000 0.5000
0.8323 0.1677 0.5000

***

6.
GGA-PBE Zn3Sn, relaxed; symmetry = Imm2 (44); E_form = 155 meV/atom
1.0
-1.4602 4.9879 2.6522
1.4602 -4.9879 2.6522
1.4602 4.9879 -2.6522
Zn Sn
3 1
direct
0.0000 0.0000 0.0000
0.2396 0.5118 0.7279
0.7839 0.5118 0.2721
0.5011 0.0011 0.5000

***

7.
GGA-PBE Mg2Ag8Sn, relaxed; symmetry = C2/m (12); E_form = -12 meV/atom
1.0
3.8045 -6.9741 0.0000
3.8045 6.9741 0.0000
-3.1020 0.0000 4.0727
Mg Ag Sn
2 8 1
direct
0.1876 0.8124 0.0000
0.8124 0.1876 0.0000
0.0646 0.0646 0.3033
0.1367 0.4022 0.8113
0.2991 0.7009 0.5000
0.4022 0.1367 0.8113
0.5978 0.8633 0.1887
0.7009 0.2991 0.5000
0.8633 0.5978 0.1887
0.9354 0.9354 0.6967
0.5000 0.5000 0.5000

***

8.
GGA-PBE Cs2BaGaBr6, relaxed; symmetry = I4/mmm (139); formation energy from raw total energies = -1.5082 eV per atom
1.0
-4.1932 4.1932 5.9219
4.1932 -4.1932 5.9219
4.1932 4.1932 -5.9219
Cs Ba Ga Br
2 1 1 6
direct
0.2500 0.7500 0.5000
0.7500 0.2500 0.5000
0.0000 0.0000 0.0000
0.5000 0.5000 0.0000
0.2668 0.2668 0.0000
0.2665 0.2665 0.5331
0.2665 0.7335 0.0000
0.7335 0.2665 0.0000
0.7332 0.7332 0.0000
0.7335 0.7335 0.4669

***

9.
GGA-PBE PrNd4Ru, relaxed; symmetry = C2/m (12); E_form = -42 meV/atom
1.0
8.8622 -3.8192 0.0000
8.8622 3.8192 0.0000
-2.1295 0.0000 5.7641
Pr Nd Ru
2 8 2
direct
0.2001 0.2001 0.2000
0.7999 0.7999 0.8000
0.1421 0.6325 0.3874
0.2074 0.7926 0.0000
0.3302 0.3302 0.8305
0.3675 0.8579 0.6126
0.6325 0.1421 0.3874
0.6698 0.6698 0.1695
0.7926 0.2074 0.0000
0.8579 0.3675 0.6126
0.5004 0.5004 0.2596
0.4996 0.4996 0.7404

***

10.
GGA-PBE YZrTc2, relaxed; symmetry = Pm (6); E_form = 104 meV/atom
1.0
3.3819 0.0000 0.0000
0.0000 4.1974 0.0000
-1.6324 0.0000 5.8143
Y Zr Tc
1 1 2
direct
0.0000 0.0000 0.0000
0.7017 0.5000 0.3528
0.3319 0.5000 0.7569
0.3608 0.0000 0.5494

***

11.
GGA-PBE Pa3P4Ru2, relaxed; symmetry = C2/m (12); E_form = -1032 meV/atom
1.0
5.6104 -2.0352 0.0000
5.6104 2.0352 0.0000
-3.8670 0.0000 7.2844
Pa P Ru
3 4 2
direct
0.0000 0.0000 0.0000
0.3653 0.3653 0.2763
0.6347 0.6347 0.7237
0.0848 0.0848 0.3919
0.3145 0.3145 0.9054
0.6855 0.6855 0.0946
0.9152 0.9152 0.6081
0.3213 0.3213 0.6284
0.6787 0.6787 0.3716

***

12.
GGA-PBE SrBe2F6, relaxed; symmetry = C2/c (15); formation energy from raw total energies = -3.4791 eV per atom
1.0
5.2353 -5.1830 0.0000
5.2353 5.1830 0.0000
-1.6364 0.0000 4.9009
Sr Be F
2 4 12
direct
0.1444 0.8556 0.7500
0.8556 0.1444 0.2500
0.2179 0.3622 0.8123
0.3622 0.2179 0.3123
0.6378 0.7821 0.6877
0.7821 0.6378 0.1877
0.0684 0.1928 0.7039
0.1290 0.5497 0.8112
0.1928 0.0684 0.2039
0.3300 0.3526 0.1060
0.3526 0.3300 0.6060
0.4503 0.8710 0.6888
0.5497 0.1290 0.3112
0.6474 0.6700 0.3940
0.6700 0.6474 0.8940
0.8072 0.9316 0.7961
0.8710 0.4503 0.1888
0.9316 0.8072 0.2961

***

no.,total DFT energy (no corrections) (eV/atom)
1,-2.6166
2,-2.6355
3,-5.5867
4,-4.7213
5,-4.3205
6,-1.8009
7,-2.7390
8,-3.1776
9,-5.5636
10,-8.8321
11,-8.6628
12,-5.7416